{"formula": "Re13Ni16", "functional": "GGA-PBE", "state": "optimized geometry", "cell": [[5.404, -1.983, -5.258], [-0.415, -5.506, 5.503], [-6.923, 0.683, -3.519]], "species": ["Ni", "Ni", "Ni", "Ni", "Ni", "Ni", "Ni", "Ni", "Ni", "Ni", "Ni", "Ni", "Ni", "Ni", "Ni", "Ni", "Re", "Re", "Re", "Re", "Re", "Re", "Re", "Re", "Re", "Re", "Re", "Re", "Re"], "frac_coords": [[0.815, 0.185, 0.815], [0.185, 0.370, 0.000], [0.815, 0.815, 0.185], [0.815, 0.630, 0.630], [0.370, 0.185, 0.000], [0.630, 0.815, 0.630], [0.667, 0.000, 0.000], [0.333, 0.333, 0.333], [0.370, 0.000, 0.185], [0.000, 0.185, 0.370], [0.000, 0.000, 0.667], [0.185, 0.000, 0.370], [0.000, 0.370, 0.185], [0.000, 0.667, 0.000], [0.630, 0.630, 0.815], [0.185, 0.815, 0.815], [0.271, 0.581, 0.581], [0.581, 0.581, 0.271], [0.729, 0.309, 0.309], [0.000, 0.419, 0.691], [0.309, 0.309, 0.729], [0.581, 0.271, 0.581], [0.000, 0.000, 0.000], [0.419, 0.000, 0.691], [0.419, 0.691, 0.000], [0.691, 0.419, 0.000], [0.000, 0.691, 0.419], [0.691, 0.000, 0.419], [0.309, 0.729, 0.309]], "relative_energy_mev_per_atom": 37.0, "delta_e_f_kj_per_mol_fu": 360, "m_tot_mub_per_atom": 0.00, "crystal_system": "cubic", "sg": "I-43m, No. 217"}

{"formula": "Zn2Sn", "functional": "GGA-PBE", "state": "optimized geometry", "cell": [[-12.289, 3.485, -4.248], [-4.500, -5.996, -1.360], [-1.605, 0.128, 4.750]], "species": ["Zn", "Zn", "Zn", "Zn", "Zn", "Zn", "Zn", "Zn", "Zn", "Zn", "Zn", "Zn", "Zn", "Zn", "Zn", "Zn", "Sn", "Sn", "Sn", "Sn", "Sn", "Sn", "Sn", "Sn"], "frac_coords": [[0.588, 0.789, 0.000], [0.167, 0.163, 0.000], [0.098, 0.793, 0.500], [0.225, 0.759, 0.000], [0.606, 0.572, 0.500], [0.234, 0.967, 0.500], [0.096, 0.568, 0.000], [0.503, 0.535, 0.000], [0.599, 0.128, 0.000], [0.369, 0.915, 0.000], [0.960, 0.394, 0.000], [0.028, 0.199, 0.500], [0.595, 0.234, 0.500], [0.692, 0.826, 0.500], [0.825, 0.446, 0.500], [0.969, 0.602, 0.500], [0.815, 0.771, 0.000], [0.992, 0.996, 0.000], [0.202, 0.365, 0.500], [0.736, 0.359, 0.000], [0.459, 0.002, 0.500], [0.356, 0.331, 0.000], [0.380, 0.589, 0.500], [0.838, 0.030, 0.500]], "total_energy_ha_per_atom": -0.076, "crystal_system": "monoclinic", "sg": "P2_1/m, No. 11"}

{"formula": "UZnB", "functional": "GGA-PBE", "state": "optimized geometry", "cell": [[-0.900, -4.007, 1.494], [-4.109, -1.079, 1.022], [-2.205, -2.821, -2.504]], "species": ["U", "B", "Zn"], "frac_coords": [[0.250, 0.250, 0.250], [0.000, 0.000, 0.000], [0.500, 0.500, 0.500]], "relative_energy_mev_per_atom": 743.3, "m_tot_mub_per_atom": 0.61, "crystal_system": "cubic", "sg": "F-43m, No. 216"}

{"formula": "Y3Cd3Ag2Au", "functional": "GGA-PBE", "state": "optimized geometry", "cell": [[7.813, 0.000, 0.000], [-3.907, 6.766, 0.000], [0.000, 0.000, 3.957]], "species": ["Y", "Y", "Y", "Cd", "Cd", "Cd", "Ag", "Ag", "Au"], "frac_coords": [[0.000, 0.601, 0.500], [0.399, 0.399, 0.500], [0.601, 0.000, 0.500], [0.264, 0.000, 0.000], [0.000, 0.264, 0.000], [0.736, 0.736, 0.000], [0.333, 0.667, 0.000], [0.667, 0.333, 0.000], [0.000, 0.000, 0.500]], "delta_e_f_kj_per_mol_fu": -381, "m_tot_mub_per_atom": 0.00, "crystal_system": "hexagonal", "sg": "P-62m, No. 189"}

{"formula": "LaPr3I2N2", "functional": "GGA-PBE", "state": "optimized geometry", "cell": [[3.831, 0.000, 0.000], [-1.915, 3.318, 0.000], [0.000, 0.000, 15.409]], "species": ["N", "N", "I", "I", "Pr", "Pr", "Pr", "La"], "frac_coords": [[0.000, 0.000, 0.501], [0.000, 0.000, 0.998], [0.667, 0.333, 0.253], [0.333, 0.667, 0.749], [0.667, 0.333, 0.912], [0.333, 0.667, 0.415], [0.667, 0.333, 0.587], [0.333, 0.667, 0.085]], "total_energy_ha_per_atom": -0.224, "m_tot_mub_per_atom": 0.00, "crystal_system": "trigonal", "sg": "P3m1, No. 156"}

{"formula": "ScTaSe4", "functional": "GGA-PBE", "state": "optimized geometry", "cell": [[0.149, 7.026, -0.988], [-3.063, -5.790, 2.731], [3.397, 0.660, 5.210]], "species": ["Sc", "Se", "Se", "Se", "Se", "Ta"], "frac_coords": [[0.000, 0.000, 0.921], [0.881, 0.119, 0.272], [0.624, 0.376, 0.742], [0.376, 0.624, 0.742], [0.119, 0.881, 0.272], [0.500, 0.500, 0.434]], "relative_energy_mev_per_atom": 0.0, "m_tot_mub_per_atom": 0.00, "crystal_system": "orthorhombic", "sg": "Cmm2, No. 35"}

{"formula": "PmTlAu", "functional": "GGA-PBE", "state": "optimized geometry", "cell": [[0.000, 3.544, 3.544], [3.544, 0.000, 3.544], [3.544, 3.544, 0.000]], "species": ["Au", "Pm", "Tl"], "frac_coords": [[0.250, 0.250, 0.250], [0.000, 0.000, 0.000], [0.750, 0.750, 0.750]], "relative_energy_mev_per_atom": 444.7, "m_tot_mub_per_atom": 0.01, "crystal_system": "cubic", "sg": "F-43m, No. 216"}

{"formula": "Gd3SnPb6", "functional": "GGA-PBE", "state": "optimized geometry", "cell": [[-11.618, 6.114, -0.204], [11.556, -4.276, 4.536], [2.081, 3.900, -1.625]], "species": ["Gd", "Gd", "Gd", "Pb", "Pb", "Pb", "Pb", "Pb", "Pb", "Sn"], "frac_coords": [[0.500, 0.500, 0.500], [0.311, 0.689, 0.500], [0.689, 0.311, 0.500], [0.096, 0.904, 0.500], [0.794, 0.206, 0.000], [0.206, 0.794, 0.000], [0.597, 0.403, 0.000], [0.403, 0.597, 0.000], [0.904, 0.096, 0.500], [0.000, 0.000, 0.000]], "total_energy_ha_per_atom": -0.162, "m_tot_mub_per_atom": 0.00, "crystal_system": "orthorhombic", "sg": "Cmmm, No. 65"}

{"formula": "Li2SmCuP2", "functional": "GGA-PBE", "state": "optimized geometry", "cell": [[4.092, 0.000, 0.000], [-2.046, 3.544, 0.000], [0.000, 0.000, 6.539]], "species": ["Li", "Li", "P", "P", "Sm", "Cu"], "frac_coords": [[0.667, 0.333, 0.642], [0.333, 0.667, 0.358], [0.333, 0.667, 0.738], [0.667, 0.333, 0.262], [0.000, 0.000, 0.000], [0.000, 0.000, 0.500]], "total_energy_ha_per_atom": -0.169, "m_tot_mub_per_atom": 0.00, "crystal_system": "trigonal", "sg": "P-3m1, No. 164"}

{"formula": "HgN", "functional": "GGA-PBE", "state": "optimized geometry", "cell": [[-0.862, -0.873, -3.099], [1.564, -2.184, 1.973], [-2.677, -0.991, 1.024]], "species": ["N", "Hg"], "frac_coords": [[0.333, 0.667, 0.250], [0.667, 0.333, 0.750]], "relative_energy_mev_per_atom": 246.2, "crystal_system": "hexagonal", "sg": "P-6m2, No. 187"}

{"formula": "RbPuAg", "functional": "GGA-PBE", "state": "optimized geometry", "cell": [[0.000, 3.916, 3.916], [3.916, 0.000, 3.916], [3.916, 3.916, 0.000]], "species": ["Rb", "Ag", "Pu"], "frac_coords": [[0.750, 0.750, 0.750], [0.000, 0.000, 0.000], [0.250, 0.250, 0.250]], "relative_energy_mev_per_atom": 0.0, "m_tot_mub_per_atom": 2.02, "crystal_system": "cubic", "sg": "F-43m, No. 216"}

{"formula": "Sn3As2Pt2", "functional": "GGA-PBE", "state": "optimized geometry", "cell": [[-7.492, 4.418, 4.418], [-4.418, 4.418, 7.492], [-4.418, 7.492, 4.418]], "species": ["Sn", "Sn", "Sn", "As", "As", "Pt", "Pt"], "frac_coords": [[0.637, 0.637, 0.637], [0.906, 0.906, 0.906], [0.381, 0.381, 0.381], [0.785, 0.785, 0.785], [0.181, 0.181, 0.181], [0.008, 0.008, 0.008], [0.478, 0.478, 0.478]], "total_energy_ha_per_atom": -0.182, "m_tot_mub_per_atom": 0.00, "crystal_system": "trigonal", "sg": "R3m, No. 160"}

{"formula": "La5Pt2", "functional": "GGA-PBE", "state": "optimized geometry", "cell": [[-5.396, 6.313, -4.313], [-8.253, 0.165, -4.407], [-2.673, 1.138, 6.769]], "species": ["La", "La", "La", "La", "La", "La", "La", "La", "La", "La", "Pt", "Pt", "Pt", "Pt"], "frac_coords": [[0.013, 0.802, 0.571], [0.209, 0.353, 0.184], [0.576, 0.424, 0.750], [0.987, 0.198, 0.429], [0.353, 0.209, 0.684], [0.424, 0.576, 0.250], [0.198, 0.987, 0.929], [0.802, 0.013, 0.071], [0.791, 0.647, 0.816], [0.647, 0.791, 0.316], [0.195, 0.582, 0.920], [0.418, 0.805, 0.580], [0.805, 0.418, 0.080], [0.582, 0.195, 0.420]], "delta_e_f_kj_per_mol_fu": -495, "m_tot_mub_per_atom": 0.00, "crystal_system": "monoclinic", "sg": "C2/c, No. 15"}

{"formula": "K2BaZnBi2", "functional": "GGA-PBE", "state": "optimized geometry", "cell": [[5.785, 0.000, 0.000], [-2.892, 5.010, 0.000], [0.000, 0.000, 7.576]], "species": ["Ba", "Bi", "Bi", "K", "K", "Zn"], "frac_coords": [[0.667, 0.333, 0.000], [0.667, 0.333, 0.500], [0.333, 0.667, 0.000], [0.000, 0.000, 0.732], [0.000, 0.000, 0.268], [0.333, 0.667, 0.500]], "total_energy_ha_per_atom": -0.093, "crystal_system": "hexagonal", "sg": "P-6m2, No. 187"}

{"formula": "LuGaFeIr", "functional": "GGA-PBE", "state": "optimized geometry", "cell": [[0.000, 3.147, 3.147], [3.147, 0.000, 3.147], [3.147, 3.147, 0.000]], "species": ["Ir", "Ga", "Lu", "Fe"], "frac_coords": [[0.250, 0.250, 0.250], [0.000, 0.000, 0.000], [0.500, 0.500, 0.500], [0.750, 0.750, 0.750]], "relative_energy_mev_per_atom": 0.0, "m_tot_mub_per_atom": 0.23, "crystal_system": "cubic", "sg": "F-43m, No. 216"}

{"formula": "Dy3AlGa2Ge2Pt", "functional": "GGA-PBE", "state": "optimized geometry", "cell": [[-1.292, -1.464, -3.762], [6.146, -3.363, -0.802], [-5.508, -3.121, 3.106]], "species": ["Dy", "Dy", "Dy", "Al", "Pt", "Ge", "Ge", "Ga", "Ga"], "frac_coords": [[0.000, 0.589, 0.005], [0.000, 0.411, 0.411], [0.000, 0.005, 0.589], [0.500, 0.768, 0.768], [0.000, 0.988, 0.988], [0.500, 0.340, 0.666], [0.500, 0.666, 0.340], [0.500, 0.997, 0.235], [0.500, 0.235, 0.997]], "total_energy_ha_per_atom": -0.190, "m_tot_mub_per_atom": 0.00, "crystal_system": "orthorhombic", "sg": "Amm2, No. 38"}

{"formula": "RbErHgSe3", "functional": "GGA-PBE", "state": "optimized geometry", "cell": [[8.795, 0.000, 0.000], [0.000, 4.248, 0.000], [-3.550, 0.000, 10.014]], "species": ["Hg", "Hg", "Se", "Se", "Se", "Se", "Se", "Se", "Rb", "Rb", "Er", "Er"], "frac_coords": [[0.915, 0.750, 0.383], [0.085, 0.250, 0.617], [0.096, 0.250, 0.866], [0.248, 0.750, 0.561], [0.537, 0.250, 0.858], [0.752, 0.250, 0.439], [0.904, 0.750, 0.134], [0.463, 0.750, 0.142], [0.755, 0.750, 0.730], [0.245, 0.250, 0.270], [0.323, 0.750, 0.867], [0.677, 0.250, 0.133]], "total_energy_ha_per_atom": -0.143, "m_tot_mub_per_atom": 0.00, "crystal_system": "monoclinic", "sg": "P2_1/m, No. 11"}

{"formula": "BaAlAgSe3", "functional": "GGA-PBE", "state": "optimized geometry", "cell": [[-5.399, 5.116, 3.329], [-1.730, -3.148, 2.033], [7.424, -0.328, 5.807]], "species": ["Se", "Se", "Se", "Se", "Se", "Se", "Ba", "Ba", "Al", "Al", "Ag", "Ag"], "frac_coords": [[0.951, 0.750, 0.133], [0.620, 0.250, 0.879], [0.781, 0.750, 0.569], [0.380, 0.750, 0.121], [0.219, 0.250, 0.431], [0.049, 0.250, 0.867], [0.719, 0.250, 0.266], [0.281, 0.750, 0.734], [0.830, 0.750, 0.856], [0.170, 0.250, 0.144], [0.576, 0.250, 0.593], [0.424, 0.750, 0.407]], "total_energy_ha_per_atom": -0.153, "crystal_system": "monoclinic", "sg": "P2_1/m, No. 11"}

{"formula": "KLu4IO6", "functional": "GGA-PBE", "state": "optimized geometry", "cell": [[-4.462, -2.400, -4.123], [6.360, -0.910, -1.179], [-0.215, -7.319, 4.491]], "species": ["O", "O", "O", "O", "O", "O", "K", "Lu", "Lu", "Lu", "Lu", "I"], "frac_coords": [[0.500, 0.000, 0.314], [0.000, 0.500, 0.686], [0.500, 0.500, 0.314], [0.500, 0.000, 0.686], [0.000, 0.500, 0.314], [0.500, 0.500, 0.686], [0.000, 0.000, 0.500], [0.333, 0.667, 0.757], [0.667, 0.333, 0.243], [0.667, 0.333, 0.757], [0.333, 0.667, 0.243], [0.000, 0.000, 0.000]], "total_energy_ha_per_atom": -0.244, "m_tot_mub_per_atom": 0.00, "crystal_system": "hexagonal", "sg": "P6/mmm, No. 191"}

{"formula": "Na2CuTe2Au", "functional": "GGA-PBE", "state": "optimized geometry", "cell": [[-2.382, 0.594, -3.891], [4.445, -1.172, -0.180], [-2.156, -8.188, 0.070]], "species": ["Cu", "Te", "Te", "Na", "Na", "Au"], "frac_coords": [[0.333, 0.667, 0.500], [0.333, 0.667, 0.000], [0.000, 0.000, 0.500], [0.667, 0.333, 0.250], [0.667, 0.333, 0.750], [0.000, 0.000, 0.000]], "total_energy_ha_per_atom": -0.116, "crystal_system": "hexagonal", "sg": "P-6m2, No. 187"}

{"formula": "HfSi2", "functional": "GGA-PBE", "state": "optimized geometry", "cell": [[-4.235, -1.178, -2.565], [3.163, -3.686, 1.520], [-4.099, -0.610, 7.049]], "species": ["Si", "Si", "Si", "Si", "Si", "Si", "Si", "Si", "Hf", "Hf", "Hf", "Hf"], "frac_coords": [[0.829, 0.171, 0.750], [0.171, 0.829, 0.250], [0.000, 0.000, 0.000], [0.343, 0.171, 0.750], [0.829, 0.657, 0.750], [0.657, 0.829, 0.250], [0.171, 0.343, 0.250], [0.000, 0.000, 0.500], [0.333, 0.667, 0.940], [0.667, 0.333, 0.440], [0.667, 0.333, 0.060], [0.333, 0.667, 0.560]], "total_energy_ha_per_atom": -0.261, "m_tot_mub_per_atom": 0.00, "crystal_system": "hexagonal", "sg": "P6_3/mmc, No. 194"}

{"formula": "Sc4Ta2Zn3C3", "functional": "GGA-PBE", "state": "optimized geometry", "cell": [[-3.333, 1.075, -4.415], [1.035, -2.444, -4.971], [-7.431, -10.322, 6.956]], "species": ["Zn", "Zn", "Zn", "Zn", "Zn", "Zn", "Sc", "Sc", "Sc", "Sc", "Sc", "Sc", "Sc", "Sc", "Ta", "Ta", "Ta", "Ta", "C", "C", "C", "C", "C", "C"], "frac_coords": [[0.580, 0.688, 0.249], [0.688, 0.580, 0.749], [0.420, 0.312, 0.751], [0.312, 0.420, 0.251], [0.145, 0.855, 0.750], [0.855, 0.145, 0.250], [0.300, 0.121, 0.405], [0.879, 0.700, 0.095], [0.045, 0.189, 0.595], [0.189, 0.045, 0.095], [0.955, 0.811, 0.405], [0.121, 0.300, 0.905], [0.700, 0.879, 0.595], [0.811, 0.955, 0.905], [0.651, 0.473, 0.424], [0.349, 0.527, 0.576], [0.527, 0.349, 0.076], [0.473, 0.651, 0.924], [0.000, 0.500, 0.500], [0.813, 0.343, 0.000], [0.343, 0.813, 0.500], [0.187, 0.657, 0.000], [0.657, 0.187, 0.500], [0.500, 0.000, 0.000]], "total_energy_ha_per_atom": -0.263, "m_tot_mub_per_atom": 0.00, "crystal_system": "monoclinic", "sg": "C2/c, No. 15"}

Here are the calculated density numbers, same order: 15.3, 7.0, 8.8, 8.1, 7.2, 5.8, 10.2, 10.6, 5.1, 12.2, 6.0, 9.6, 8.3, 5.3, 13.1, 9.2, 6.1, 5.6, 5.0, 6.0, 8.5, 6.6 (g/cm³).